## Hf2ScRuS (GGA-PBE)

Data for a geometry-optimized Hf2ScRuS structure.

Unit cell a=4.9665 b=4.9665 c=4.6107 alpha=90.00 beta=90.00 gamma=90.00
Space group P4/mmm (No. 123)
Symmetry-distinct sites (fractional):
Hf (0.0000, 0.5000, 0.0000) (multiplicity 2)
Sc (0.0000, 0.0000, 0.5000) (multiplicity 1)
Ru (0.5000, 0.5000, 0.0000) (multiplicity 1)
S (0.5000, 0.5000, 0.5000) (multiplicity 1)

Summary:
calculated volume: 114 Å³/cell
E_form (uncorrected): 0.34 eV per atom